First-principles (GGA+U) data for an optimized crystal structure of VSbF3, as listed in Alexandria.

Results
E above lowest polymorph (meV/atom): 708
VASP energy (eV/atom): -4.3796
Mass density (kg/m3): 3888

Unit cell a=4.6122 b=4.6122 c=4.6122 alpha=90.00 beta=90.00 gamma=90.00
Atoms (fractional coordinates):
V 0.0000 0.0000 0.0000
Sb 0.5000 0.5000 0.5000
F 0.0000 0.5000 0.5000
F 0.5000 0.0000 0.5000
F 0.5000 0.5000 0.0000